# NaTmTlPb (PBE, relaxed)
data_NaTmTlPb
_space_group_name_H-M_alt 'P 4 m m'
_space_group_IT_number 99
_space_group_name_Hall 'P 4 -2'
_cell_length_a 3.775
_cell_length_b 3.775
_cell_length_c 7.723
_cell_angle_alpha 90.00
_cell_angle_beta 90.00
_cell_angle_gamma 90.00
loop_
_atom_site_label
_atom_site_type_symbol
_atom_site_fract_x
_atom_site_fract_y
_atom_site_fract_z
_atom_site_occupancy
Na1 Na 0.000 0.000 0.000 1
Tm1 Tm 0.000 0.000 0.511 1
Tl1 Tl 0.500 0.500 0.749 1
Pb1 Pb 0.500 0.500 0.259 1
# Energy above the lowest structure with this stoichiometry (eV per formula unit): 0.00
# ρ (g cm⁻³): 9.1
# Calculated volume (Å³/atom): 27.51



# NaTlVPb2 (PBE, relaxed)
data_NaTlVPb2
_space_group_name_H-M_alt 'P 4/m m m'
_space_group_IT_number 123
_space_group_name_Hall '-P 4 2'
_cell_length_a 5.431
_cell_length_b 5.431
_cell_length_c 5.320
_cell_angle_alpha 90.00
_cell_angle_beta 90.00
_cell_angle_gamma 90.00
loop_
_atom_site_label
_atom_site_type_symbol
_atom_site_fract_x
_atom_site_fract_y
_atom_site_fract_z
_atom_site_occupancy
Na1 Na 0.000 0.000 0.000 1
Tl1 Tl 0.000 0.000 0.500 1
V1 V 0.500 0.500 0.500 1
Pb1 Pb 0.000 0.500 0.000 1
# ρ (g cm⁻³): 7.3
# Final energy (eV per atom): -2.83
# Calculated volume (Å³/atom): 31.39



# Na2TlPbW (PBE, relaxed)
data_Na2TlPbW
_space_group_name_H-M_alt 'P 4/m m m'
_space_group_IT_number 123
_space_group_name_Hall '-P 4 2'
_cell_length_a 5.868
_cell_length_b 5.868
_cell_length_c 5.376
_cell_angle_alpha 90.00
_cell_angle_beta 90.00
_cell_angle_gamma 90.00
loop_
_atom_site_label
_atom_site_type_symbol
_atom_site_fract_x
_atom_site_fract_y
_atom_site_fract_z
_atom_site_occupancy
Na1 Na 0.000 0.500 0.000 1
Tl1 Tl 0.000 0.000 0.500 1
Pb1 Pb 0.500 0.500 0.500 1
W1 W 0.500 0.500 0.000 1
# ρ (g cm⁻³): 5.8
# Final energy (eV per atom): -3.26
# Calculated volume (Å³/atom): 37.02



# NaYTlPb (PBE, relaxed)
data_NaYTlPb
_space_group_name_H-M_alt 'P m m m'
_space_group_IT_number 47
_space_group_name_Hall '-P 2 2'
_cell_length_a 4.265
_cell_length_b 4.954
_cell_length_c 5.212
_cell_angle_alpha 90.00
_cell_angle_beta 90.00
_cell_angle_gamma 90.00
loop_
_atom_site_label
_atom_site_type_symbol
_atom_site_fract_x
_atom_site_fract_y
_atom_site_fract_z
_atom_site_occupancy
Na1 Na 0.000 0.000 0.000 1
Y1 Y 0.000 0.500 0.500 1
Tl1 Tl 0.500 0.500 0.000 1
Pb1 Pb 0.500 0.000 0.500 1
# Energy above the lowest structure with this stoichiometry (eV per formula unit): 0.00
# ρ (g cm⁻³): 7.9
# Calculated volume (Å³/atom): 27.53



The highest ρ belongs to which entry?
NaTmTlPb



Which value of ρ does entry 4 give?
7.9 g cm⁻³